Crystalline Ho2Zn2SbRh5 at its relaxed geometry. Source: Alexandria, functional PBE.

Output
Formation energy from raw total energies in eV/atom: -0.68

a b c (Å): 9.6872 9.6872 3.6419
angles (deg): 90.00 90.00 90.00
Space group P4/mbm (No. 127)
Symmetry-distinct sites (fractional):
Ho: 0.1731 0.3269 0.0000 x4
Zn: 0.1244 0.6244 0.0000 x4
Sb: 0.0000 0.0000 0.0000 x2
Rh: 0.0000 0.5000 0.5000 x2
Rh: 0.0675 0.7952 0.5000 x8